Density functional theory data (PBE) for a geometry-optimized SmPuAu structure.

Lattice parameters (Å, degrees): 5.0475 5.0475 5.0475 60.00 60.00 60.00
Atoms (fractional coordinates):
Sm: 0.0000 0.0000 0.0000
Pu: 0.5000 0.5000 0.5000
Au: 0.7500 0.7500 0.7500

Results
size of the total moment: 2.07 μB per atom
formation enthalpy at 0 K: -0.235 eV/atom
electronic total energy: -22.81 eV per cell
energy relative to the lowest polymorph listed for this composition: 0.000 eV/atom
calculated volume: 30.31 Å³/atom



Density functional theory data (PBE) for a geometry-optimized PuTcAu structure.

Lattice parameters (Å, degrees): 4.5530 4.5530 4.5530 60.00 60.00 60.00
Atoms (fractional coordinates):
Pu: 0.0000 0.0000 0.0000
Tc: 0.2500 0.2500 0.2500
Au: 0.7500 0.7500 0.7500

Results
size of the total moment: 1.16 μB per atom
formation enthalpy at 0 K: 0.481 eV/atom
electronic total energy: -26.31 eV per cell
calculated volume: 22.25 Å³/atom



Density functional theory data (PBE) for a geometry-optimized Tm2PuAu3 structure.

Lattice parameters (Å, degrees): 3.5428 3.5428 10.9456 90.00 90.00 90.00
Atoms (fractional coordinates):
Tm: 0.0000 0.0000 0.1635
Tm: 0.0000 0.0000 0.8365
Pu: 0.0000 0.0000 0.5000
Au: 0.5000 0.5000 0.0000
Au: 0.5000 0.5000 0.3146
Au: 0.5000 0.5000 0.6854

Results
size of the total moment: 0.96 μB per atom
formation enthalpy at 0 K: -0.770 eV/atom
electronic total energy: -37.50 eV per cell
calculated volume: 22.90 Å³/atom



Density functional theory data (PBE) for a geometry-optimized TmPuAu2 structure.

Lattice parameters (Å, degrees): 3.5411 3.5411 7.4021 90.00 90.00 90.00
Atoms (fractional coordinates):
Tm: 0.0000 0.0000 0.0000
Pu: 0.0000 0.0000 0.5000
Au: 0.5000 0.5000 0.2275
Au: 0.5000 0.5000 0.7725

Results
size of the total moment: 1.43 μB per atom
formation enthalpy at 0 K: -0.706 eV/atom
electronic total energy: -27.96 eV per cell
calculated volume: 23.20 Å³/atom



Density functional theory data (PBE) for a geometry-optimized TmPuAu structure.

Lattice parameters (Å, degrees): 4.8448 4.8448 4.8448 60.00 60.00 60.00
Atoms (fractional coordinates):
Tm: 0.0000 0.0000 0.0000
Pu: 0.2500 0.2500 0.2500
Au: 0.7500 0.7500 0.7500

Results
size of the total moment: 2.03 μB per atom
formation enthalpy at 0 K: 0.159 eV/atom
electronic total energy: -21.39 eV per cell
energy relative to the lowest polymorph listed for this composition: 0.000 eV/atom
calculated volume: 26.80 Å³/atom



Density functional theory data (PBE) for a geometry-optimized PuUAu structure.

Lattice parameters (Å, degrees): 4.6977 4.6977 4.6977 60.00 60.00 60.00
Atoms (fractional coordinates):
Pu: 0.0000 0.0000 0.0000
U: 0.7500 0.7500 0.7500
Au: 0.5000 0.5000 0.5000

Results
size of the total moment: 2.35 μB per atom
formation enthalpy at 0 K: 0.227 eV/atom
electronic total energy: -28.01 eV per cell
energy relative to the lowest polymorph listed for this composition: 0.000 eV/atom
calculated volume: 24.44 Å³/atom